Record 1
MgBeW: relaxed, PBE.

Calculated values
distance to the lowest polymorph of the same formula = 8 meV/atom
space-group type = I4mm (107)
ΔE_f = 366.1 meV per atom

Unit cell a=6.359 b=6.359 c=6.359 alpha=155.47 beta=155.47 gamma=34.97
Positions (direct):
Mg1 0.000 0.000 0.000
Be1 0.665 0.665 0.000
W1 0.308 0.308 0.000

***

Record 2
Mg2BeW: relaxed, PBE.

Calculated values
space-group type = Cmmm (65)
ΔE_f = 503.9 meV per atom

Unit cell a=5.179 b=5.179 c=2.718 alpha=90.00 beta=90.00 gamma=117.96
Positions (direct):
Mg1 0.000 0.500 0.000
Mg2 0.500 0.000 0.000
Be1 0.000 0.000 0.500
W1 0.500 0.500 0.500

***

no.,DOS(E_F) (states/eV/f.u.)
1,1.4
2,1.9